No. 1
A plane-wave DFT calculation with PBE-GGA was carried out for a relaxed CdMoP2S crystal.

Properties
- D(E_F) (states/eV/cell) = 3.88
- formation energy (no corrections) (meV/atom) = 315.3

abc: 4.824 4.824 4.575
angles: 90.00 90.00 90.00
Space group P4/mmm (No. 123)
Asymmetric unit:
Cd: 0.000 0.000 0.000
Mo: 0.500 0.500 0.500
P: 0.000 0.500 0.500
S: 0.500 0.500 0.000

No. 2
A plane-wave DFT calculation with PBE-GGA was carried out for a relaxed CdSi2MoP crystal.

Properties
- D(E_F) (states/eV/cell) = 2.98
- formation energy (no corrections) (meV/atom) = 1865.4

abc: 4.758 4.758 5.346
angles: 90.00 90.00 90.00
Space group P4/mmm (No. 123)
Asymmetric unit:
Cd: 0.000 0.000 0.000
Si: 0.000 0.500 0.000
Mo: 0.000 0.000 0.500
P: 0.500 0.500 0.500

No. 3
A plane-wave DFT calculation with PBE-GGA was carried out for a relaxed CdSn2MoP crystal.

Properties
- D(E_F) (states/eV/cell) = 3.92
- energy of formation (eV/atom) = 0.9680

abc: 5.246 5.246 5.373
angles: 90.00 90.00 90.00
Space group P4/mmm (No. 123)
Asymmetric unit:
Cd: 0.000 0.000 0.000
Sn: 0.000 0.500 0.500
Mo: 0.000 0.000 0.500
P: 0.500 0.500 0.000

No. 4
A plane-wave DFT calculation with PBE-GGA was carried out for a relaxed Sr2CdMoP crystal.

Properties
- D(E_F) (states/eV/cell) = 3.11
- energy of formation (eV/atom) = 0.9357

abc: 5.866 5.866 5.223
angles: 90.00 90.00 90.00
Space group P4/mmm (No. 123)
Asymmetric unit:
Sr: 0.000 0.500 0.000
Cd: 0.000 0.000 0.500
Mo: 0.000 0.000 0.000
P: 0.500 0.500 0.500

No. 5
A plane-wave DFT calculation with PBE-GGA was carried out for a relaxed CdTcMo2P crystal.

Properties
- D(E_F) (states/eV/cell) = 10.97
- energy of formation (eV/atom) = 2.7740

abc: 4.857 4.857 4.807
angles: 90.00 90.00 90.00
Space group P4/mmm (No. 123)
Asymmetric unit:
Cd: 0.000 0.000 0.000
Tc: 0.000 0.000 0.500
Mo: 0.000 0.500 0.000
P: 0.500 0.500 0.500

No. 6
A plane-wave DFT calculation with PBE-GGA was carried out for a relaxed CdTcMo2P crystal.

Properties
- D(E_F) (states/eV/cell) = 4.79
- energy of formation (eV/atom) = 1.6043

abc: 4.688 4.688 5.110
angles: 90.00 90.00 90.00
Space group P4/mmm (No. 123)
Asymmetric unit:
Cd: 0.000 0.000 0.000
Tc: 0.000 0.000 0.500
Mo: 0.000 0.500 0.500
P: 0.500 0.500 0.000